No. 1
Entry from Alexandria via LeMat-Bulk: Be4NbB2 after structural relaxation (PBE).

Cell: 3.2045 3.1891 6.1305 Å, 90.00 105.22 90.00°
Fractional positions:
Be: 0.1732 0.0000 0.3488
Be: 0.3232 0.5000 0.6463
Be: 0.6768 0.5000 0.3537
Be: 0.8268 0.0000 0.6512
Nb: 0.0000 0.5000 0.0000
B: 0.4251 0.0000 0.8483
B: 0.5749 0.0000 0.1517

Results
SG: P2/m
Formation enthalpy at 0 K in meV per atom: -302

No. 2
Entry from Alexandria via LeMat-Bulk: Be4Nb3B2 after structural relaxation (PBE).

Cell: 3.3454 3.3454 19.7175 Å, 90.00 90.00 120.00°
Fractional positions:
Be: 0.0000 0.0000 0.0000
Be: 0.0000 0.0000 0.1669
Be: 0.0000 0.0000 0.3338
Be: 0.0000 0.0000 0.6662
Be: 0.0000 0.0000 0.8331
Be: 0.3333 0.6667 0.0000
Be: 0.3333 0.6667 0.3349
Be: 0.3333 0.6667 0.6651
Nb: 0.6667 0.3333 0.0855
Nb: 0.6667 0.3333 0.2484
Nb: 0.6667 0.3333 0.4206
Nb: 0.6667 0.3333 0.5794
Nb: 0.6667 0.3333 0.7516
Nb: 0.6667 0.3333 0.9145
B: 0.0000 0.0000 0.5000
B: 0.3333 0.6667 0.1671
B: 0.3333 0.6667 0.5000
B: 0.3333 0.6667 0.8329

Results
SG: P-6m2
Formation enthalpy at 0 K in meV per atom: -439

No. 3
Entry from Alexandria via LeMat-Bulk: BeNb5B2 after structural relaxation (PBE).

Cell: 7.2635 7.2635 7.2635 Å, 129.35 129.35 74.45°
Fractional positions:
Be: 0.2500 0.2500 0.0000
Be: 0.7500 0.7500 0.0000
Nb: 0.0000 0.0000 0.0000
Nb: 0.0355 0.5355 0.8481
Nb: 0.1874 0.0355 0.5000
Nb: 0.3126 0.8126 0.8481
Nb: 0.4645 0.3126 0.5000
Nb: 0.5000 0.5000 0.0000
Nb: 0.5355 0.6874 0.5000
Nb: 0.6874 0.1874 0.1519
Nb: 0.8126 0.9645 0.5000
Nb: 0.9645 0.4645 0.1519
B: 0.1092 0.3908 0.5000
B: 0.3908 0.8908 0.2816
B: 0.6092 0.1092 0.7184
B: 0.8908 0.6092 0.5000

Results
SG: I4/mcm
Formation enthalpy at 0 K in meV per atom: -401

No. 4
Entry from Alexandria via LeMat-Bulk: BeNbB2 after structural relaxation (PBE).

Cell: 5.8948 3.0470 8.0951 Å, 90.00 90.00 90.00°
Fractional positions:
Be: 0.0046 0.2500 0.1083
Be: 0.4954 0.7500 0.6083
Be: 0.5046 0.2500 0.3917
Be: 0.9954 0.7500 0.8917
Nb: 0.1375 0.7500 0.3602
Nb: 0.3625 0.2500 0.8602
Nb: 0.6375 0.7500 0.1398
Nb: 0.8625 0.2500 0.6398
B: 0.1744 0.7500 0.6670
B: 0.2361 0.7500 0.0731
B: 0.2639 0.2500 0.5731
B: 0.3256 0.2500 0.1670
B: 0.6744 0.7500 0.8330
B: 0.7361 0.7500 0.4269
B: 0.7639 0.2500 0.9269
B: 0.8256 0.2500 0.3330

Results
SG: Pnma
Formation enthalpy at 0 K in meV per atom: -529

No. 5
Entry from Alexandria via LeMat-Bulk: BeNb4B3 after structural relaxation (PBE).

Cell: 3.2285 3.3266 8.8988 Å, 90.00 90.00 90.00°
Fractional positions:
Be: 0.0000 0.0000 0.0000
Nb: 0.0000 0.0000 0.7014
Nb: 0.0000 0.5000 0.2087
Nb: 0.5000 0.0000 0.4143
Nb: 0.5000 0.5000 0.9109
B: 0.0000 0.5000 0.5002
B: 0.5000 0.0000 0.1250
B: 0.5000 0.5000 0.6169

Results
SG: Pmm2
Formation enthalpy at 0 K in meV per atom: -663

No. 6
Entry from Alexandria via LeMat-Bulk: BeNb2B after structural relaxation (PBE).

Cell: 5.8769 5.8769 5.8769 Å, 90.00 90.00 90.00°
Fractional positions:
Be: 0.0000 0.0000 0.0000
Be: 0.0000 0.5000 0.5000
Be: 0.5000 0.0000 0.5000
Be: 0.5000 0.5000 0.0000
Nb: 0.2500 0.2500 0.2500
Nb: 0.2500 0.2500 0.7500
Nb: 0.2500 0.7500 0.2500
Nb: 0.2500 0.7500 0.7500
Nb: 0.7500 0.2500 0.2500
Nb: 0.7500 0.2500 0.7500
Nb: 0.7500 0.7500 0.2500
Nb: 0.7500 0.7500 0.7500
B: 0.0000 0.0000 0.5000
B: 0.0000 0.5000 0.0000
B: 0.5000 0.0000 0.0000
B: 0.5000 0.5000 0.5000

Results
E above lowest polymorph in eV per atom: 0.674
SG: Fm-3m
Formation enthalpy at 0 K in meV per atom: 146

No. 7
Entry from Alexandria via LeMat-Bulk: BeNbB after structural relaxation (PBE).

Cell: 3.2862 3.2862 6.4227 Å, 90.00 90.00 90.00°
Fractional positions:
Be: 0.0000 0.0000 0.0000
Be: 0.5000 0.5000 0.5000
Nb: 0.0000 0.0000 0.3648
Nb: 0.5000 0.5000 0.8648
B: 0.0000 0.0000 0.7164
B: 0.5000 0.5000 0.2164

Results
E above lowest polymorph in eV per atom: 0.998
SG: I4mm
Formation enthalpy at 0 K in meV per atom: 389

No. 8
Entry from Alexandria via LeMat-Bulk: BeNb2B after structural relaxation (PBE).

Cell: 4.7933 3.2885 6.7122 Å, 90.00 110.56 90.00°
Fractional positions:
Be: 0.1269 0.2500 0.2793
Be: 0.8731 0.7500 0.7207
Nb: 0.2871 0.7500 0.5783
Nb: 0.2969 0.7500 0.0685
Nb: 0.7031 0.2500 0.9315
Nb: 0.7129 0.2500 0.4217
B: 0.1278 0.2500 0.7834
B: 0.8722 0.7500 0.2166

Results
E above lowest polymorph in eV per atom: 0.000
SG: P2_1/m
Formation enthalpy at 0 K in meV per atom: -528

No. 9
Entry from Alexandria via LeMat-Bulk: BeNb2Ni2B4 after structural relaxation (PBE).

Cell: 5.0094 5.0094 5.0094 Å, 118.48 118.48 92.65°
Fractional positions:
Be: 0.0000 0.0000 0.0000
Nb: 0.2500 0.7500 0.5000
Nb: 0.7500 0.2500 0.5000
Ni: 0.3055 0.3055 0.0000
Ni: 0.6945 0.6945 0.0000
B: 0.2956 0.2956 0.5912
B: 0.2956 0.7044 0.0000
B: 0.7044 0.2956 0.0000
B: 0.7044 0.7044 0.4088

Results
SG: I4/mmm
Formation enthalpy at 0 K in meV per atom: -30

No. 10
Entry from Alexandria via LeMat-Bulk: BeNb2B2Ru5 after structural relaxation (PBE).

Cell: 9.1547 9.1547 2.9870 Å, 90.00 90.00 90.00°
Fractional positions:
Be: 0.0000 0.0000 0.0000
Be: 0.5000 0.5000 0.0000
Nb: 0.1765 0.3235 0.0000
Nb: 0.3235 0.8235 0.0000
Nb: 0.6765 0.1765 0.0000
Nb: 0.8235 0.6765 0.0000
B: 0.1281 0.6281 0.0000
B: 0.3719 0.1281 0.0000
B: 0.6281 0.8719 0.0000
B: 0.8719 0.3719 0.0000
Ru: 0.0000 0.5000 0.5000
Ru: 0.0671 0.7912 0.5000
Ru: 0.2088 0.0671 0.5000
Ru: 0.2912 0.5671 0.5000
Ru: 0.4329 0.2912 0.5000
Ru: 0.5000 0.0000 0.5000
Ru: 0.5671 0.7088 0.5000
Ru: 0.7088 0.4329 0.5000
Ru: 0.7912 0.9329 0.5000
Ru: 0.9329 0.2088 0.5000

Results
SG: P4/mbm
Formation enthalpy at 0 K in meV per atom: -454

No. 11
Entry from Alexandria via LeMat-Bulk: BeNbBSb2 after structural relaxation (PBE).

Cell: 5.3435 5.3435 4.3500 Å, 90.00 90.00 90.00°
Fractional positions:
Be: 0.0000 0.0000 0.0000
Nb: 0.5000 0.5000 0.5000
B: 0.5000 0.5000 0.0000
Sb: 0.0000 0.5000 0.5000
Sb: 0.5000 0.0000 0.5000

Results
SG: P4/mmm
Raw formation energy in kcal/mol of atoms: 27.1

No. 12
Entry from Alexandria via LeMat-Bulk: TaBe2NbB after structural relaxation (PBE).

Cell: 4.3642 4.3642 4.8571 Å, 90.00 90.00 90.00°
Fractional positions:
Ta: 0.0000 0.0000 0.0000
Be: 0.0000 0.5000 0.0000
Be: 0.5000 0.0000 0.0000
Nb: 0.0000 0.0000 0.5000
B: 0.5000 0.5000 0.5000

Results
SG: P4/mmm
Formation enthalpy at 0 K in meV per atom: 2191

No. 13
Entry from Alexandria via LeMat-Bulk: TaBeNbB after structural relaxation (PBE).

Cell: 3.2797 3.3315 8.9753 Å, 90.00 90.00 90.00°
Fractional positions:
Ta: 0.0000 0.0000 0.0000
Ta: 0.0000 0.5000 0.5000
Be: 0.0000 0.0000 0.2936
Be: 0.0000 0.5000 0.7936
Nb: 0.5000 0.0000 0.7077
Nb: 0.5000 0.5000 0.2077
B: 0.5000 0.0000 0.4201
B: 0.5000 0.5000 0.9201

Results
SG: Amm2
Formation enthalpy at 0 K in meV per atom: -559

No. 14
Entry from Alexandria via LeMat-Bulk: Ta2BeNb2B4 after structural relaxation (PBE).

Cell: 5.2344 5.2344 5.2344 Å, 116.31 116.31 96.53°
Fractional positions:
Ta: 0.2500 0.7500 0.5000
Ta: 0.7500 0.2500 0.5000
Be: 0.0000 0.0000 0.0000
Nb: 0.3127 0.3127 0.0000
Nb: 0.6873 0.6873 0.0000
B: 0.2361 0.2361 0.4723
B: 0.2361 0.7639 0.0000
B: 0.7639 0.2361 0.0000
B: 0.7639 0.7639 0.5277

Results
SG: I4/mmm
Formation enthalpy at 0 K in meV per atom: 433

No. 15
Entry from Alexandria via LeMat-Bulk: Ti2BeNb2B4 after structural relaxation (PBE).

Cell: 5.1956 5.1956 5.1956 Å, 117.27 117.27 94.80°
Fractional positions:
Ti: 0.2500 0.7500 0.5000
Ti: 0.7500 0.2500 0.5000
Be: 0.0000 0.0000 0.0000
Nb: 0.3113 0.3113 0.0000
Nb: 0.6887 0.6887 0.0000
B: 0.2334 0.2334 0.4669
B: 0.2334 0.7666 0.0000
B: 0.7666 0.2334 0.0000
B: 0.7666 0.7666 0.5331

Results
SG: I4/mmm
Formation enthalpy at 0 K in meV per atom: 264

No. 16
Entry from Alexandria via LeMat-Bulk: TiBeNbB after structural relaxation (PBE).

Cell: 3.2337 3.3432 8.9246 Å, 90.00 90.00 90.00°
Fractional positions:
Ti: 0.0000 0.0000 0.0000
Ti: 0.0000 0.5000 0.5000
Be: 0.5000 0.0000 0.5880
Be: 0.5000 0.5000 0.0880
Nb: 0.5000 0.0000 0.2928
Nb: 0.5000 0.5000 0.7928
B: 0.0000 0.0000 0.7164
B: 0.0000 0.5000 0.2164

Results
SG: Amm2
Formation enthalpy at 0 K in meV per atom: -476

No. 17
Entry from Alexandria via LeMat-Bulk: NdBeB after structural relaxation (PBE).

Cell: 4.0875 12.4913 4.0668 Å, 90.00 90.00 90.00°
Fractional positions:
Nd: 0.0000 0.1493 0.0000
Nd: 0.0000 0.8507 0.5000
Nd: 0.5000 0.3507 0.5000
Nd: 0.5000 0.6493 0.0000
Be: 0.0000 0.4998 0.2486
Be: 0.0000 0.5002 0.7486
Be: 0.5000 0.9998 0.2486
Be: 0.5000 0.0002 0.7486
B: 0.0000 0.3766 0.9981
B: 0.0000 0.6234 0.4981
B: 0.5000 0.1234 0.4981
B: 0.5000 0.8766 0.9981

Results
SG: Cmc2_1
Formation enthalpy at 0 K in meV per atom: 21

No. 18
Entry from Alexandria via LeMat-Bulk: NdBe2BOs after structural relaxation (PBE).

Cell: 3.5170 3.5818 11.2382 Å, 90.00 90.00 90.00°
Fractional positions:
Nd: 0.0000 0.0000 0.0000
Nd: 0.5000 0.5000 0.5000
Be: 0.0000 0.0000 0.6450
Be: 0.0000 0.5000 0.2684
Be: 0.5000 0.0000 0.7684
Be: 0.5000 0.5000 0.1450
B: 0.0000 0.0000 0.3657
B: 0.5000 0.5000 0.8657
Os: 0.0000 0.5000 0.7645
Os: 0.5000 0.0000 0.2645

Results
SG: Imm2
Formation enthalpy at 0 K in meV per atom: -163

No. 19
Entry from Alexandria via LeMat-Bulk: NdBe2BOs2 after structural relaxation (PBE).

Cell: 4.1297 4.1297 5.2910 Å, 90.00 90.00 90.00°
Fractional positions:
Nd: 0.0000 0.0000 0.0000
Be: 0.5000 0.5000 0.2753
Be: 0.5000 0.5000 0.7247
B: 0.0000 0.0000 0.5000
Os: 0.0000 0.5000 0.5000
Os: 0.5000 0.0000 0.5000

Results
SG: P4/mmm
Formation enthalpy at 0 K in meV per atom: -295

No. 20
Entry from Alexandria via LeMat-Bulk: NdBeBPt6 after structural relaxation (PBE).

Cell: 7.6584 7.6584 7.6584 Å, 124.75 115.87 89.64°
Fractional positions:
Nd: 0.4025 0.1525 0.2500
Nd: 0.5975 0.8475 0.7500
Be: 0.0000 0.0000 0.5000
Be: 0.0000 0.5000 0.0000
B: 0.0000 0.5000 0.5000
B: 0.5000 0.5000 0.0000
Pt: 0.1030 0.4034 0.2534
Pt: 0.1030 0.8496 0.6996
Pt: 0.1268 0.8768 0.2500
Pt: 0.3169 0.5669 0.7500
Pt: 0.3500 0.1504 0.7534
Pt: 0.3500 0.5966 0.1996
Pt: 0.6500 0.4034 0.8004
Pt: 0.6500 0.8496 0.2466
Pt: 0.6831 0.4331 0.2500
Pt: 0.8732 0.1232 0.7500
Pt: 0.8970 0.1504 0.3004
Pt: 0.8970 0.5966 0.7466

Results
SG: Imma
Formation enthalpy at 0 K in meV per atom: -509

No. 21
Entry from Alexandria via LeMat-Bulk: Nd2BeB2Rh5 after structural relaxation (PBE).

Cell: 9.5572 9.5572 3.1989 Å, 90.00 90.00 90.00°
Fractional positions:
Nd: 0.1768 0.3232 0.0000
Nd: 0.3232 0.8232 0.0000
Nd: 0.6768 0.1768 0.0000
Nd: 0.8232 0.6768 0.0000
Be: 0.0000 0.0000 0.0000
Be: 0.5000 0.5000 0.0000
B: 0.1231 0.6231 0.0000
B: 0.3769 0.1231 0.0000
B: 0.6231 0.8769 0.0000
B: 0.8769 0.3769 0.0000
Rh: 0.0000 0.5000 0.5000
Rh: 0.0675 0.7838 0.5000
Rh: 0.2162 0.0675 0.5000
Rh: 0.2838 0.5675 0.5000
Rh: 0.4325 0.2838 0.5000
Rh: 0.5000 0.0000 0.5000
Rh: 0.5675 0.7162 0.5000
Rh: 0.7162 0.4325 0.5000
Rh: 0.7838 0.9325 0.5000
Rh: 0.9325 0.2162 0.5000

Results
SG: P4/mbm
Formation enthalpy at 0 K in meV per atom: -546

No. 22
Entry from Alexandria via LeMat-Bulk: BeNi5B2 after structural relaxation (PBE).

Cell: 6.1936 6.1936 6.1936 Å, 127.89 127.89 76.81°
Fractional positions:
Be: 0.2500 0.2500 0.0000
Be: 0.7500 0.7500 0.0000
Ni: 0.0000 0.0000 0.0000
Ni: 0.0253 0.5252 0.8331
Ni: 0.1921 0.0253 0.5000
Ni: 0.3079 0.8079 0.8331
Ni: 0.4748 0.3079 0.5000
Ni: 0.5000 0.5000 0.0000
Ni: 0.5252 0.6921 0.5000
Ni: 0.6921 0.1921 0.1669
Ni: 0.8079 0.9748 0.5000
Ni: 0.9748 0.4748 0.1669
B: 0.1245 0.3755 0.5000
B: 0.3755 0.8755 0.2509
B: 0.6245 0.1245 0.7491
B: 0.8755 0.6245 0.5000

Results
E above lowest polymorph in eV per atom: 0.000
SG: I4/mcm
Formation enthalpy at 0 K in meV per atom: -297

no.,volume (Å³ per cell)
1,60.5
2,191.1
3,223.3
4,145.4
5,95.6
6,203.0
7,69.4
8,99.1
9,90.8
10,250.3
11,124.2
12,92.5
13,98.1
14,106.3
15,102.9
16,96.5
17,207.6
18,141.6
19,90.2
20,313.7
21,292.2
22,143.7